{"formula": "Tb8ZnP3Se4", "functional": "PBE-GGA", "state": "relaxed", "cell": [[-5.536, 0.202, 5.942], [-0.993, -8.107, -0.650], [7.420, 3.062, 1.255]], "species": ["Tb", "Tb", "Tb", "Tb", "Tb", "Tb", "Tb", "Tb", "Zn", "P", "P", "P", "Se", "Se", "Se", "Se"], "frac_coords": [[0.248, 0.737, 0.989], [0.248, 0.737, 0.496], [0.257, 0.272, 0.515], [0.741, 0.737, 0.989], [0.259, 0.263, 0.011], [0.743, 0.728, 0.485], [0.752, 0.263, 0.504], [0.752, 0.263, 0.011], [0.000, 0.500, 0.000], [0.500, 0.500, 0.000], [0.500, 0.500, 0.500], [0.000, 0.500, 0.500], [0.500, 0.000, 0.000], [0.500, 0.000, 0.500], [0.000, 0.000, 0.000], [0.000, 0.000, 0.500]], "density_g_cm3": 7.548, "volume_a3_per_cell": 384.0, "total_magnetization_mub_per_cell": 0.00, "space_group": "R-3m, No. 166", "e_tot_ev_per_atom": -5.860, "crystal_system": "trigonal"}

=====

{"formula": "AgPt3", "functional": "PBE-GGA", "state": "relaxed", "cell": [[-0.734, 1.143, 4.926], [-5.051, -0.414, -0.657], [0.252, -4.964, 1.189]], "species": ["Ag", "Ag", "Pt", "Pt", "Pt", "Pt", "Pt", "Pt"], "frac_coords": [[0.000, 0.000, 0.000], [0.500, 0.500, 0.500], [0.000, 0.250, 0.500], [0.000, 0.750, 0.500], [0.250, 0.500, 0.000], [0.500, 0.000, 0.250], [0.500, 0.000, 0.750], [0.750, 0.500, 0.000]], "density_g_cm3": 17.249, "volume_a3_per_cell": 133.5, "total_magnetization_mub_per_cell": 0.00, "space_group": "Pm-3n, No. 223", "formation_enthalpy_0k_kj_per_mol_atoms": 30.2, "e_tot_ev_per_atom": -4.930, "crystal_system": "cubic"}

=====

{"formula": "Sm6HoEr3Tm2", "functional": "PBE-GGA", "state": "relaxed", "cell": [[6.186, 0.000, 0.008], [-3.092, 5.358, 0.008], [-1.043, -1.806, 11.535]], "species": ["Sm", "Sm", "Sm", "Sm", "Sm", "Sm", "Ho", "Er", "Er", "Er", "Tm", "Tm"], "frac_coords": [[0.916, 0.583, 0.750], [0.750, 0.750, 0.250], [0.084, 0.417, 0.250], [0.583, 0.916, 0.750], [0.250, 0.250, 0.750], [0.417, 0.084, 0.250], [0.000, 0.000, 0.000], [0.167, 0.833, 0.500], [0.833, 0.167, 0.500], [0.500, 0.500, 0.500], [0.333, 0.667, 0.000], [0.667, 0.333, 0.000]], "density_g_cm3": 8.277, "volume_a3_per_cell": 382.5, "total_magnetization_mub_per_cell": 0.00, "space_group": "C2/m, No. 12", "formation_enthalpy_0k_kj_per_mol_atoms": 1.5, "e_tot_ev_per_atom": -4.611, "crystal_system": "monoclinic"}